Density functional theory data (GGA-PBE) for a relaxed structure of Ac5HgSe5.

Summary:
* DOS at the Fermi energy: 6.0 states/eV per cell
* formation energy from raw total energies: -1606 meV per atom
* crystal system: monoclinic
* size of the total moment: 0.000 Bohr magnetons per cell

```
Ac5HgSe5
1.0
-2.3633 5.0690 -2.9859
-3.5467 -1.6013 6.8196
7.6071 4.7204 1.9927
Se Hg Ac
5 1 5
Direct
0.3245 0.6491 0.6682
0.3241 0.6482 0.1543
0.6759 0.3518 0.8457
0.0000 0.0000 0.5000
0.6755 0.3509 0.3318
0.0000 0.0000 0.0000
0.1661 0.3321 0.3405
0.8387 0.6775 0.1766
0.5000 0.0000 0.0000
0.1613 0.3225 0.8234
0.8339 0.6679 0.6595
```